Entry 1:
Below is Pm2Cu5Pd4 after structural relaxation, with properties calculated at the PBE level.

a = 9.574 Å, b = 8.852 Å, c = 5.165 Å
α = 81.59°, β = 66.16°, γ = 32.25°
Element x y z (fractional)
Pm 0.137 0.137 0.863
Pm 0.863 0.863 0.137
Cu 0.000 0.000 0.500
Cu 0.250 0.250 0.250
Cu 0.500 0.500 0.000
Cu 0.500 0.500 0.500
Cu 0.750 0.750 0.750
Pd 0.210 0.537 0.463
Pd 0.463 0.790 0.210
Pd 0.537 0.210 0.790
Pd 0.790 0.463 0.537

## Properties
SG = Fmmm

***

Entry 2:
Below is Pm2CuPd3 after structural relaxation, with properties calculated at the PBE level.

a = 3.723 Å, b = 4.433 Å, c = 7.737 Å
α = 90.00°, β = 90.00°, γ = 90.00°
Element x y z (fractional)
Pm 0.000 0.000 0.000
Pm 0.000 0.500 0.484
Cu 0.500 0.500 0.818
Pd 0.500 0.000 0.333
Pd 0.500 0.000 0.677
Pd 0.500 0.500 0.139

## Properties
SG = Pmm2
Energy above the most stable polymorph in this dataset = 0.00 eV per formula unit

***

Entry 3:
Below is Pm2CuPd6 after structural relaxation, with properties calculated at the PBE level.

a = 7.467 Å, b = 7.467 Å, c = 3.905 Å
α = 105.12°, β = 105.12°, γ = 63.84°
Element x y z (fractional)
Pm 0.153 0.153 0.151
Pm 0.847 0.847 0.849
Cu 0.500 0.500 0.500
Pd 0.115 0.562 0.339
Pd 0.288 0.712 0.000
Pd 0.438 0.885 0.661
Pd 0.562 0.115 0.339
Pd 0.712 0.288 0.000
Pd 0.885 0.438 0.661

## Properties
SG = C2/m

***

Entry 4:
Below is Pm2Cu5Pd after structural relaxation, with properties calculated at the PBE level.

a = 8.066 Å, b = 8.066 Å, c = 8.922 Å
α = 90.00°, β = 90.00°, γ = 150.17°
Element x y z (fractional)
Pm 0.000 0.000 0.000
Pm 0.000 0.000 0.500
Pm 0.203 0.797 0.750
Pm 0.797 0.203 0.250
Cu 0.179 0.821 0.115
Cu 0.179 0.821 0.385
Cu 0.339 0.661 0.017
Cu 0.339 0.661 0.483
Cu 0.395 0.605 0.750
Cu 0.605 0.395 0.250
Cu 0.661 0.339 0.517
Cu 0.661 0.339 0.983
Cu 0.821 0.179 0.615
Cu 0.821 0.179 0.885
Pd 0.440 0.560 0.250
Pd 0.560 0.440 0.750

## Properties
SG = Cmcm

***

Entry 5:
Below is PmCu2Pd after structural relaxation, with properties calculated at the PBE level.

a = 4.399 Å, b = 9.867 Å, c = 6.642 Å
α = 90.00°, β = 90.00°, γ = 90.00°
Element x y z (fractional)
Pm 0.000 0.090 0.250
Pm 0.000 0.910 0.750
Pm 0.500 0.410 0.750
Pm 0.500 0.590 0.250
Cu 0.000 0.379 0.063
Cu 0.000 0.379 0.437
Cu 0.000 0.621 0.563
Cu 0.000 0.621 0.937
Cu 0.500 0.121 0.563
Cu 0.500 0.121 0.937
Cu 0.500 0.879 0.063
Cu 0.500 0.879 0.437
Pd 0.000 0.205 0.750
Pd 0.000 0.795 0.250
Pd 0.500 0.295 0.250
Pd 0.500 0.705 0.750

## Properties
SG = Cmcm
Energy above the most stable polymorph in this dataset = 0.00 eV per formula unit

***

Entry 6:
Below is PmCu2Pd after structural relaxation, with properties calculated at the PBE level.

a = 4.292 Å, b = 7.298 Å, c = 5.366 Å
α = 90.00°, β = 113.56°, γ = 90.00°
Element x y z (fractional)
Pm 0.057 0.250 0.112
Pm 0.943 0.750 0.888
Cu 0.245 0.581 0.491
Cu 0.245 0.919 0.491
Cu 0.755 0.081 0.509
Cu 0.755 0.419 0.509
Pd 0.356 0.250 0.711
Pd 0.644 0.750 0.289

## Properties
SG = P2_1/m
Energy above the most stable polymorph in this dataset = 0.52 eV per formula unit

***

Entry 7:
Below is Pm8Cu2Pd after structural relaxation, with properties calculated at the PBE level.

a = 7.908 Å, b = 7.908 Å, c = 6.005 Å
α = 100.60°, β = 100.60°, γ = 113.95°
Element x y z (fractional)
Pm 0.000 0.000 0.000
Pm 0.030 0.285 0.584
Pm 0.167 0.587 0.192
Pm 0.285 0.030 0.584
Pm 0.465 0.721 0.810
Pm 0.587 0.167 0.192
Pm 0.721 0.465 0.810
Pm 0.744 0.744 0.377
Cu 0.066 0.676 0.685
Cu 0.676 0.066 0.685
Pd 0.365 0.365 0.024

## Properties
SG = Cm
Energy above the most stable polymorph in this dataset = 1.20 eV per formula unit

***

Entry 8:
Below is PmCuPd4 after structural relaxation, with properties calculated at the PBE level.

a = 7.492 Å, b = 4.094 Å, c = 6.880 Å
α = 90.00°, β = 90.00°, γ = 90.00°
Element x y z (fractional)
Pm 0.250 0.000 0.146
Pm 0.750 0.000 0.854
Cu 0.250 0.000 0.735
Cu 0.750 0.000 0.265
Pd 0.000 0.000 0.500
Pd 0.051 0.500 0.808
Pd 0.250 0.500 0.460
Pd 0.449 0.500 0.808
Pd 0.500 0.000 0.500
Pd 0.551 0.500 0.192
Pd 0.750 0.500 0.540
Pd 0.949 0.500 0.192

## Properties
SG = Pmma
Energy above the most stable polymorph in this dataset = 0.00 eV per formula unit

***

no.,formation enthalpy at 0 K (kJ/mol of formula units)
1,-408.1
2,-373.4
3,-291.1
4,-211.5
5,-155.9
6,-105.3
7,-70.6
8,-266.7